Record 1
# SrRe4Cl

SrRe4Cl after structural relaxation (GGA-PBEsol, Alexandria via LeMat-Bulk).

Results
Formation energy without anion corrections   1.023 eV per atom
Total magnetization   0.00 Bohr magnetons per cell

abc: 5.3581 5.3581 5.3581
angles: 60.00 60.00 60.00
Element x y z (fractional)
Sr: 0.0000 0.0000 0.0000
Re: 0.1287 0.6238 0.6238
Re: 0.6238 0.1287 0.6238
Re: 0.6238 0.6238 0.1287
Re: 0.6238 0.6238 0.6238
Cl: 0.2500 0.2500 0.2500

=====

Record 2
# Pd3SO

Pd3SO after structural relaxation (GGA-PBEsol, Alexandria via LeMat-Bulk).

Results
Formation energy without anion corrections   0.213 eV per atom
Total magnetization   0.00 Bohr magnetons per cell

abc: 4.1435 4.1435 4.1435
angles: 90.00 90.00 90.00
Element x y z (fractional)
Pd: 0.0000 0.0000 0.5000
Pd: 0.0000 0.5000 0.0000
Pd: 0.5000 0.0000 0.0000
S: 0.5000 0.5000 0.5000
O: 0.0000 0.0000 0.0000

=====

Record 3
# BaCo2Sn8

BaCo2Sn8 after structural relaxation (GGA-PBEsol, Alexandria via LeMat-Bulk).

Results
Energy of formation from the pure elements   -0.29 eV/atom
Total magnetization   0.00 Bohr magnetons per cell

abc: 9.0351 9.0351 13.8402
angles: 90.00 90.00 111.68
Element x y z (fractional)
Ba: 0.1027 0.7925 0.0000
Ba: 0.2075 0.8973 0.5000
Ba: 0.7925 0.1027 0.5000
Ba: 0.8973 0.2075 0.0000
Co: 0.2797 0.5728 0.3300
Co: 0.2797 0.5728 0.6700
Co: 0.4272 0.7203 0.1700
Co: 0.4272 0.7203 0.8300
Co: 0.5728 0.2797 0.1700
Co: 0.5728 0.2797 0.8300
Co: 0.7203 0.4272 0.3300
Co: 0.7203 0.4272 0.6700
Sn: 0.0000 0.0000 0.2500
Sn: 0.0000 0.0000 0.7500
Sn: 0.0000 0.5000 0.3939
Sn: 0.0000 0.5000 0.6061
Sn: 0.1582 0.4617 0.1651
Sn: 0.1582 0.4617 0.8349
Sn: 0.1941 0.2778 0.3861
Sn: 0.1941 0.2778 0.6139
Sn: 0.2054 0.7946 0.2500
Sn: 0.2054 0.7946 0.7500
Sn: 0.2778 0.1941 0.1139
Sn: 0.2778 0.1941 0.8861
Sn: 0.3944 0.5898 0.5000
Sn: 0.4102 0.6056 0.0000
Sn: 0.4617 0.1582 0.3349
Sn: 0.4617 0.1582 0.6651
Sn: 0.5000 0.0000 0.1061
Sn: 0.5000 0.0000 0.8939
Sn: 0.5000 0.5000 0.2500
Sn: 0.5000 0.5000 0.7500
Sn: 0.5383 0.8418 0.3349
Sn: 0.5383 0.8418 0.6651
Sn: 0.5898 0.3944 0.0000
Sn: 0.6056 0.4102 0.5000
Sn: 0.7222 0.8059 0.1139
Sn: 0.7222 0.8059 0.8861
Sn: 0.7946 0.2054 0.2500
Sn: 0.7946 0.2054 0.7500
Sn: 0.8059 0.7222 0.3861
Sn: 0.8059 0.7222 0.6139
Sn: 0.8418 0.5383 0.1651
Sn: 0.8418 0.5383 0.8349

=====

Record 4
# ScMn2

ScMn2 after structural relaxation (GGA-PBEsol, Alexandria via LeMat-Bulk).

Results
Energy of formation from the pure elements   -0.12 eV/atom
Total magnetization   0.01 Bohr magnetons per cell

abc: 4.8328 4.8328 15.8303
angles: 90.00 90.00 120.00
Element x y z (fractional)
Sc: 0.0000 0.0000 0.0930
Sc: 0.0000 0.0000 0.4070
Sc: 0.0000 0.0000 0.5930
Sc: 0.0000 0.0000 0.9070
Sc: 0.3333 0.6667 0.1561
Sc: 0.3333 0.6667 0.3439
Sc: 0.6667 0.3333 0.6561
Sc: 0.6667 0.3333 0.8439
Mn: 0.0000 0.5000 0.0000
Mn: 0.0000 0.5000 0.5000
Mn: 0.1611 0.3221 0.7500
Mn: 0.1611 0.8389 0.7500
Mn: 0.3221 0.1611 0.2500
Mn: 0.3333 0.6667 0.6302
Mn: 0.3333 0.6667 0.8698
Mn: 0.5000 0.0000 0.0000
Mn: 0.5000 0.0000 0.5000
Mn: 0.5000 0.5000 0.0000
Mn: 0.5000 0.5000 0.5000
Mn: 0.6667 0.3333 0.1302
Mn: 0.6667 0.3333 0.3698
Mn: 0.6779 0.8389 0.7500
Mn: 0.8389 0.1611 0.2500
Mn: 0.8389 0.6779 0.2500

=====

Record 5
# CaMnO2

CaMnO2 after structural relaxation (GGA-PBEsol, Alexandria via LeMat-Bulk).

Results
Formation energy without anion corrections   -2.052 eV per atom
Total magnetization   10.00 Bohr magnetons per cell

abc: 3.2361 4.6594 6.4049
angles: 90.00 90.00 90.00
Element x y z (fractional)
Ca: 0.2500 0.2500 0.1368
Ca: 0.7500 0.7500 0.8632
Mn: 0.2500 0.2500 0.6239
Mn: 0.7500 0.7500 0.3761
O: 0.2500 0.7500 0.1352
O: 0.2500 0.7500 0.6048
O: 0.7500 0.2500 0.3952
O: 0.7500 0.2500 0.8648

=====

Record 6
# Li3TaW

Li3TaW after structural relaxation (GGA-PBEsol, Alexandria via LeMat-Bulk).

Results
Energy of formation from the pure elements   2.12 eV/atom
Total magnetization   1.86 Bohr magnetons per cell

abc: 4.3654 4.3654 4.3654
angles: 90.00 90.00 90.00
Element x y z (fractional)
Li: 0.0000 0.0000 0.5000
Li: 0.0000 0.5000 0.0000
Li: 0.5000 0.0000 0.0000
Ta: 0.5000 0.5000 0.5000
W: 0.0000 0.0000 0.0000

=====

Record 7
# HOsO2

HOsO2 after structural relaxation (GGA-PBEsol, Alexandria via LeMat-Bulk).

Results
Total magnetization   1.73 Bohr magnetons per cell
E_tot   -6.485 eV per atom

abc: 4.7549 4.7549 4.7549
angles: 127.23 127.23 77.87
Element x y z (fractional)
H: 0.0000 0.0000 0.0000
H: 0.7500 0.2500 0.5000
Os: 0.2500 0.7500 0.5000
Os: 0.5000 0.5000 0.0000
O: 0.0396 0.6250 0.9146
O: 0.3750 0.2896 0.4146
O: 0.7104 0.1250 0.0854
O: 0.8750 0.9604 0.5854

=====

Record 8
# BaFeNi

BaFeNi after structural relaxation (GGA-PBEsol, Alexandria via LeMat-Bulk).

Results
Energy of formation from the pure elements   1.65 eV/atom
Total magnetization   2.02 Bohr magnetons per cell

abc: 4.5320 4.5320 4.5320
angles: 60.00 60.00 60.00
Element x y z (fractional)
Ba: 0.0000 0.0000 0.0000
Fe: 0.2500 0.2500 0.2500
Ni: 0.7500 0.7500 0.7500

=====

Record 9
# CaAgAs

CaAgAs after structural relaxation (GGA-PBEsol, Alexandria via LeMat-Bulk).

Results
Energy of formation from the pure elements   -0.81 eV/atom
Total magnetization   0.00 Bohr magnetons per cell

abc: 7.0951 7.0951 4.2450
angles: 90.00 90.00 120.00
Element x y z (fractional)
Ca: 0.0000 0.4143 0.0000
Ca: 0.4143 0.0000 0.0000
Ca: 0.5857 0.5857 0.0000
Ag: 0.0000 0.7507 0.5000
Ag: 0.2493 0.2493 0.5000
Ag: 0.7507 0.0000 0.5000
As: 0.0000 0.0000 0.0000
As: 0.3333 0.6667 0.5000
As: 0.6667 0.3333 0.5000

=====

Record 10
# YMnTl2

YMnTl2 after structural relaxation (GGA-PBEsol, Alexandria via LeMat-Bulk).

Results
Energy of formation from the pure elements   0.11 eV/atom
Total magnetization   3.47 Bohr magnetons per cell

abc: 5.7708 5.7708 5.7708
angles: 138.09 133.64 64.26
Element x y z (fractional)
Y: 0.0000 0.0000 0.0000
Mn: 0.7512 0.2512 0.5000
Tl: 0.2572 0.7572 0.5000
Tl: 0.5082 0.5082 0.0000

=====

Record 11
# BIrNF2

BIrNF2 after structural relaxation (GGA-PBEsol, Alexandria via LeMat-Bulk).

Results
Formation energy without anion corrections   0.616 eV per atom
Total magnetization   0.00 Bohr magnetons per cell

abc: 4.2584 4.2584 3.6663
angles: 90.00 90.00 90.00
Element x y z (fractional)
B: 0.0000 0.0000 0.0000
Ir: 0.5000 0.5000 0.5000
N: 0.5000 0.5000 0.0000
F: 0.0000 0.5000 0.5000
F: 0.5000 0.0000 0.5000

=====

Record 12
# IrRh3

IrRh3 after structural relaxation (GGA-PBEsol, Alexandria via LeMat-Bulk).

Results
Energy of formation from the pure elements   0.03 eV/atom
Total magnetization   0.00 Bohr magnetons per cell

abc: 2.6924 4.3423 4.6602
angles: 90.00 90.00 90.00
Element x y z (fractional)
Ir: 0.0000 0.0000 0.0000
Rh: 0.0000 0.5000 0.3330
Rh: 0.5000 0.0000 0.5003
Rh: 0.5000 0.5000 0.8331